Density functional theory data (PBE-GGA) for a relaxed V5CrCo2Ru2 crystal.

Structure (POSCAR):
```
V5CrCo2Ru2
1.0
9.2319 0.0000 0.0000
0.0000 9.2319 0.0000
0.0000 0.0000 3.0603
V Cr Co Ru
10 2 4 4
direct
0.0000 0.5000 0.0000
0.0692 0.1933 0.0000
0.1933 0.9308 0.0000
0.3067 0.4308 0.0000
0.4308 0.6933 0.0000
0.5000 0.0000 0.0000
0.5692 0.3067 0.0000
0.6933 0.5692 0.0000
0.8067 0.0692 0.0000
0.9308 0.8067 0.0000
0.0000 0.0000 0.5000
0.5000 0.5000 0.5000
0.1298 0.3702 0.5000
0.3702 0.8702 0.5000
0.6298 0.1298 0.5000
0.8702 0.6298 0.5000
0.1682 0.6682 0.5000
0.3318 0.1682 0.5000
0.6682 0.8318 0.5000
0.8318 0.3318 0.5000
```

Summary:
Energy relative to the elements, eV per atom: 0.06
Raw total energy, eV/atom: -8.739
Size of the total moment, μB per cell: 0.000